Material: ScAlCr2
Method: DFT, PBE
State: relaxed

- Symmetry: Pm (6)
- Total moment: 0.000 μB/cell
- Volume: 15.07 Å³ per atom
- ΔH_f (0 K): 78 meV per atom

Geometry as POSCAR:
```
ScAlCr2
1.0
2.802 0.000 0.000
0.000 3.955 0.000
-1.252 0.000 5.440
Sc Al Cr
1 1 2
Cartesian
0.000 0.000 0.000
1.354 1.977 1.670
-0.301 0.000 2.916
0.274 1.977 3.975
```